## ErTmNp2Se4 (PBE)

Data for crystalline ErTmNp2Se4 at its relaxed geometry.

Calculated values
* ΔE_f (raw): -11.13 eV per formula unit
* total moment: 1.146 μB/atom
* space-group type: P2/m (10)

abc: 7.014 4.047 7.083
angles: 90.00 109.23 90.00
Atoms (fractional coordinates):
1 Er 0.000 0.000 0.000
2 Tm 0.500 0.500 0.000
3 Np 0.000 0.500 0.500
4 Np 0.500 0.000 0.500
5 Se 0.248 0.500 0.243
6 Se 0.254 0.000 0.758
7 Se 0.746 0.000 0.242
8 Se 0.752 0.500 0.757

## NaLiB2F (PBE)

Data for crystalline NaLiB2F at its relaxed geometry.

Calculated values
* ΔE_f (raw): 5.67 eV per formula unit
* total moment: 0.000 μB/atom
* space-group type: P4/mmm (123)

abc: 4.756 4.756 4.087
angles: 90.00 90.00 90.00
Atoms (fractional coordinates):
1 Na 0.000 0.000 0.000
2 Li 0.500 0.500 0.500
3 B 0.000 0.500 0.000
4 B 0.500 0.000 0.000
5 F 0.000 0.000 0.500

## FeCo2Pd (PBE)

Data for crystalline FeCo2Pd at its relaxed geometry.

Calculated values
* E_form: 29 meV per atom
* total moment: 1.610 μB/atom
* space-group type: P4/mmm (123)

abc: 2.812 2.812 6.289
angles: 90.00 90.00 90.00
Atoms (fractional coordinates):
1 Fe 0.000 0.000 0.000
2 Co 0.500 0.500 0.219
3 Co 0.500 0.500 0.781
4 Pd 0.000 0.000 0.500

## LiLaAg2F6 (PBE)

Data for crystalline LiLaAg2F6 at its relaxed geometry.

Calculated values
* ΔE_f (raw): -25.66 eV per formula unit
* total moment: 0.000 μB/atom
* space-group type: P2_1/c (14)

abc: 5.825 5.994 10.212
angles: 90.00 121.62 90.00
Atoms (fractional coordinates):
1 Li 0.000 0.000 0.000
2 Li 0.000 0.500 0.500
3 La 0.500 0.000 0.500
4 La 0.500 0.500 0.000
5 Ag 0.216 0.058 0.745
6 Ag 0.216 0.442 0.245
7 Ag 0.784 0.558 0.755
8 Ag 0.784 0.942 0.255
9 F 0.119 0.216 0.436
10 F 0.119 0.284 0.936
11 F 0.213 0.691 0.432
12 F 0.213 0.809 0.932
13 F 0.371 0.057 0.242
14 F 0.371 0.443 0.742
15 F 0.629 0.557 0.258
16 F 0.629 0.943 0.758
17 F 0.787 0.191 0.068
18 F 0.787 0.309 0.568
19 F 0.881 0.716 0.064
20 F 0.881 0.784 0.564

## Er2Co3B4 (PBE)

Data for crystalline Er2Co3B4 at its relaxed geometry.

Calculated values
* E_form: -116 meV per atom
* total moment: 0.000 μB/atom
* space-group type: Fmmm (69)

abc: 6.547 5.458 5.011
angles: 77.29 54.41 48.30
Atoms (fractional coordinates):
1 Er 0.149 0.149 0.851
2 Er 0.851 0.851 0.149
3 Co 0.000 0.000 0.500
4 Co 0.500 0.500 0.000
5 Co 0.500 0.500 0.500
6 B 0.126 0.548 0.452
7 B 0.452 0.874 0.126
8 B 0.548 0.126 0.874
9 B 0.874 0.452 0.548

## Sr3ScNi (PBE)

Data for crystalline Sr3ScNi at its relaxed geometry.

Calculated values
* E_form: 287 meV per atom
* total moment: 0.000 μB/atom
* space-group type: Pm-3m (221)

abc: 5.771 5.771 5.771
angles: 90.00 90.00 90.00
Atoms (fractional coordinates):
1 Sr 0.000 0.000 0.500
2 Sr 0.000 0.500 0.000
3 Sr 0.500 0.000 0.000
4 Sc 0.500 0.500 0.500
5 Ni 0.000 0.000 0.000